# 1
Compound: RbPaPd2Se4
Source: Alexandria
Functional: PBE
Structure: optimized geometry

```
RbPaPd2Se4
1.0
-3.222 3.742 4.306
3.222 -3.742 4.306
3.222 3.742 -4.306
Rb Pa Pd Se
1 1 2 4
direct
0.000 0.000 0.000
0.500 0.500 0.000
0.329 0.829 0.500
0.671 0.171 0.500
0.079 0.097 0.570
0.473 0.903 0.982
0.527 0.509 0.430
0.921 0.491 0.018
```

Formation energy from raw total energies in eV per atom: -0.695


# 2
Compound: CePrMgIn
Source: Alexandria
Functional: PBE
Structure: optimized geometry

```
CePrMgIn
1.0
0.000 3.878 3.878
3.878 0.000 3.878
3.878 3.878 0.000
Ce Pr Mg In
1 1 1 1
direct
0.000 0.000 0.000
0.500 0.500 0.500
0.250 0.250 0.250
0.750 0.750 0.750
```

Formation enthalpy at 0 K in eV/atom: -0.220
Distance to the lowest polymorph of the same formula in meV per atom: 0


# 3
Compound: CeSmPd2
Source: Alexandria
Functional: PBE
Structure: optimized geometry

```
CeSmPd2
1.0
5.108 0.000 0.000
0.000 5.108 0.000
0.000 0.000 3.516
Ce Sm Pd
1 1 2
direct
0.000 0.000 0.000
0.500 0.500 0.000
0.000 0.500 0.500
0.500 0.000 0.500
```

Formation enthalpy at 0 K in eV/atom: -0.694
Distance to the lowest polymorph of the same formula in meV per atom: 63


# 4
Compound: Ca2ScTl
Source: Alexandria
Functional: PBE
Structure: optimized geometry

```
Ca2ScTl
1.0
-1.990 2.662 5.654
1.990 -2.662 5.654
1.990 2.662 -5.654
Ca Sc Tl
2 1 1
direct
0.227 0.227 0.000
0.773 0.773 0.000
0.500 0.000 0.500
0.000 0.500 0.500
```

Formation enthalpy at 0 K in eV/atom: -0.032
Distance to the lowest polymorph of the same formula in meV per atom: 84


# 5
Compound: LaBiO3
Source: Alexandria
Functional: PBE
Structure: optimized geometry

```
LaBiO3
1.0
3.154 1.821 5.126
-3.154 1.821 5.126
0.000 -3.642 5.126
La Bi O
2 2 6
direct
0.133 0.133 0.133
0.867 0.867 0.867
0.351 0.351 0.351
0.649 0.649 0.649
0.001 0.772 0.464
0.228 0.536 0.999
0.464 0.001 0.772
0.536 0.999 0.228
0.772 0.464 0.001
0.999 0.228 0.536
```

Formation energy from raw total energies in eV per atom: -2.313


# 6
Compound: Pd2N
Source: Alexandria
Functional: PBE
Structure: optimized geometry

```
Pd2N
1.0
2.666 0.000 0.000
0.000 2.666 0.000
0.000 0.000 16.761
Pd N
4 2
direct
0.000 0.000 0.077
0.000 0.000 0.231
0.000 0.000 0.769
0.000 0.000 0.923
0.500 0.500 0.467
0.500 0.500 0.533
```

Formation energy from raw total energies in eV per atom: 0.558
Distance to the lowest polymorph of the same formula in meV per atom: 0


# 7
Compound: PuHfIrRu
Source: Alexandria
Functional: PBE
Structure: optimized geometry

```
PuHfIrRu
1.0
0.000 3.334 3.334
3.334 0.000 3.334
3.334 3.334 0.000
Pu Hf Ir Ru
1 1 1 1
direct
0.000 0.000 0.000
0.500 0.500 0.500
0.250 0.250 0.250
0.750 0.750 0.750
```

Formation enthalpy at 0 K in eV/atom: -0.488


# 8
Compound: PmY2Ge
Source: Alexandria
Functional: PBE
Structure: optimized geometry

```
PmY2Ge
1.0
2.069 -6.112 0.000
2.069 6.112 0.000
0.000 0.000 9.180
Pm Y Ge
2 4 2
direct
0.067 0.933 0.750
0.933 0.067 0.250
0.357 0.643 0.556
0.357 0.643 0.944
0.643 0.357 0.056
0.643 0.357 0.444
0.247 0.753 0.250
0.753 0.247 0.750
```

Formation enthalpy at 0 K in eV/atom: -0.468
Distance to the lowest polymorph of the same formula in meV per atom: 0


# 9
Compound: UTl2Se4
Source: Alexandria
Functional: PBE
Structure: optimized geometry

```
UTl2Se4
1.0
8.900 0.000 0.000
0.000 12.465 0.000
0.000 0.000 4.232
U Tl Se
2 4 8
direct
0.000 0.000 0.000
0.500 0.500 0.000
0.123 0.309 0.500
0.377 0.809 0.500
0.623 0.191 0.500
0.877 0.691 0.500
0.104 0.803 0.000
0.188 0.050 0.500
0.312 0.550 0.500
0.396 0.303 0.000
0.604 0.697 0.000
0.688 0.450 0.500
0.812 0.950 0.500
0.896 0.197 0.000
```

Formation energy from raw total energies in eV per atom: -0.739
Distance to the lowest polymorph of the same formula in meV per atom: 0


# 10
Compound: Y3FeBr
Source: Alexandria
Functional: PBE
Structure: optimized geometry

```
Y3FeBr
1.0
5.251 0.000 0.000
0.000 5.251 0.000
0.000 0.000 5.251
Y Fe Br
3 1 1
direct
0.000 0.000 0.500
0.000 0.500 0.000
0.500 0.000 0.000
0.000 0.000 0.000
0.500 0.500 0.500
```

Formation energy from raw total energies in eV per atom: -0.065
Distance to the lowest polymorph of the same formula in meV per atom: 0


# 11
Compound: Be2GaF6
Source: Alexandria
Functional: PBE
Structure: optimized geometry

```
Be2GaF6
1.0
5.551 -4.429 0.000
5.551 4.429 0.000
-2.138 0.000 4.412
Be Ga F
4 2 12
direct
0.077 0.266 0.110
0.266 0.077 0.610
0.734 0.923 0.390
0.923 0.734 0.890
0.385 0.615 0.250
0.615 0.385 0.750
0.109 0.167 0.791
0.156 0.677 0.928
0.167 0.109 0.291
0.193 0.455 0.285
0.323 0.844 0.572
0.455 0.193 0.785
0.545 0.807 0.215
0.677 0.156 0.428
0.807 0.545 0.715
0.833 0.891 0.709
0.844 0.323 0.072
0.891 0.833 0.209
```

Formation energy from raw total energies in eV per atom: -2.829


# 12
Compound: Th5Ga2Tc
Source: Alexandria
Functional: PBE
Structure: optimized geometry

```
Th5Ga2Tc
1.0
2.836 -4.986 0.000
2.836 4.986 0.000
0.000 0.000 15.662
Th Ga Tc
10 4 2
direct
0.073 0.927 0.597
0.073 0.927 0.903
0.245 0.755 0.250
0.415 0.585 0.621
0.415 0.585 0.879
0.585 0.415 0.121
0.585 0.415 0.379
0.755 0.245 0.750
0.927 0.073 0.097
0.927 0.073 0.403
0.263 0.737 0.056
0.263 0.737 0.444
0.737 0.263 0.556
0.737 0.263 0.944
0.215 0.785 0.750
0.785 0.215 0.250
```

Formation enthalpy at 0 K in eV/atom: -0.049


| no. | uncorrected energy (eV per atom) | V (Å³/cell) |
| --- | --- | --- |
| 1 | -5.044 | 208 |
| 2 | -3.982 | 117 |
| 3 | -5.954 | 92 |
| 4 | -3.207 | 120 |
| 5 | -7.049 | 177 |
| 6 | -5.679 | 119 |
| 7 | -11.094 | 74 |
| 8 | -6.042 | 232 |
| 9 | -5.018 | 470 |
| 10 | -5.971 | 145 |
| 11 | -5.241 | 217 |
| 12 | -6.739 | 443 |